[1]
MnAgMo4 | GGA-PBE | optimized geometry

Cell lengths 5.223, 5.223, 5.223 Å; angles 60.00, 60.00, 60.00 degrees
Element x y z (fractional)
1 Mn 0.000 0.000 0.000
2 Ag 0.250 0.250 0.250
3 Mo 0.127 0.624 0.624
4 Mo 0.624 0.127 0.624
5 Mo 0.624 0.624 0.127
6 Mo 0.624 0.624 0.624

Summary:
ρ = 9.008 g/cm3
energy relative to the elements = 538.4 meV per atom
volume = 100.75 Å³ per cell
space group = F-43m (216)
DOS(E_F) = 5.94 states/eV/f.u.

[2]
RbPmI4 | GGA-PBE | optimized geometry

Cell lengths 9.430, 9.430, 7.673 Å; angles 106.54, 106.54, 110.87 degrees
Element x y z (fractional)
1 Rb 0.135 0.865 0.750
2 Rb 0.865 0.135 0.250
3 Pm 0.500 0.500 0.250
4 Pm 0.500 0.500 0.750
5 I 0.168 0.297 0.812
6 I 0.236 0.553 0.426
7 I 0.297 0.168 0.312
8 I 0.447 0.764 0.074
9 I 0.553 0.236 0.926
10 I 0.703 0.832 0.688
11 I 0.764 0.447 0.574
12 I 0.832 0.703 0.188

Summary:
ρ = 4.445 g/cm3
volume = 551.50 Å³ per cell
energy above the most stable polymorph in this dataset = 47 meV/atom
space group = C2/c (15)
energy relative to the elements, uncorrected = -1395 meV per atom

[3]
Ba5Tb | GGA-PBE | optimized geometry

Cell lengths 10.873, 10.873, 4.670 Å; angles 90.00, 90.00, 143.21 degrees
Element x y z (fractional)
1 Ba 0.000 0.000 0.000
2 Ba 0.172 0.828 0.500
3 Ba 0.350 0.650 0.000
4 Ba 0.650 0.350 0.000
5 Ba 0.828 0.172 0.500
6 Tb 0.500 0.500 0.500

Summary:
ρ = 4.247 g/cm3
energy relative to the elements = 144.3 meV per atom
volume = 330.63 Å³ per cell
space group = Cmmm (65)
DOS(E_F) = 6.39 states/eV/f.u.

[4]
TaMn2Cl | GGA-PBE | optimized geometry

Cell lengths 3.102, 3.002, 7.324 Å; angles 90.00, 90.04, 90.00 degrees
Element x y z (fractional)
1 Ta 0.000 0.000 0.000
2 Mn 0.001 0.000 0.393
3 Mn 0.500 0.500 0.183
4 Cl 0.999 0.500 0.712

Summary:
ρ = 7.944 g/cm3
volume = 68.20 Å³ per cell
energy above the most stable polymorph in this dataset = 0 meV/atom
space group = Pm (6)
DOS(E_F) = 3.12 states/eV/f.u.
energy relative to the elements, uncorrected = 31 meV per atom

[5]
La2TlRhAu | GGA-PBE | optimized geometry

Cell lengths 8.059, 4.207, 8.468 Å; angles 90.00, 111.77, 90.00 degrees
Element x y z (fractional)
1 La 0.033 0.250 0.230
2 La 0.358 0.750 0.623
3 La 0.642 0.250 0.377
4 La 0.967 0.750 0.770
5 Tl 0.334 0.250 0.961
6 Tl 0.666 0.750 0.039
7 Rh 0.108 0.250 0.617
8 Rh 0.892 0.750 0.383
9 Au 0.319 0.750 0.227
10 Au 0.681 0.250 0.773

Summary:
ρ = 9.741 g/cm3
energy relative to the elements = -685.7 meV per atom
volume = 266.63 Å³ per cell
space group = P2_1/m (11)
DOS(E_F) = 3.37 states/eV/f.u.

[6]
YSeF3 | GGA-PBE | optimized geometry

Cell lengths 4.479, 4.479, 4.479 Å; angles 90.00, 90.00, 90.00 degrees
Element x y z (fractional)
1 Y 0.000 0.000 0.000
2 Se 0.500 0.500 0.500
3 F 0.000 0.000 0.500
4 F 0.000 0.500 0.000
5 F 0.500 0.000 0.000

Summary:
ρ = 4.154 g/cm3
volume = 89.88 Å³ per cell
energy above the most stable polymorph in this dataset = 0 meV/atom
space group = Pm-3m (221)
DOS(E_F) = 3.15 states/eV/f.u.
energy relative to the elements, uncorrected = -2705 meV per atom